Entry 1:
K8Sb2H: optimized geometry, GGA-PBE.

Results
final energy = -2.098 eV per atom

Geometry as CIF:
```
data_K8Sb2H
_chemical_formula_sum 'K8 Sb2 H1'
_space_group_name_H-M_alt 'P 1'
_space_group_IT_number 1
_space_group_name_Hall 'P 1'
_cell_length_a 10.818
_cell_length_b 10.818
_cell_length_c 7.875
_cell_angle_alpha 104.15
_cell_angle_beta 104.15
_cell_angle_gamma 32.14
loop_
_atom_site_label
_atom_site_type_symbol
_atom_site_fract_x
_atom_site_fract_y
_atom_site_fract_z
K1 K 0.025 0.025 0.273
K2 K 0.222 0.222 0.131
K3 K 0.326 0.326 0.587
K4 K 0.409 0.409 0.183
K5 K 0.591 0.591 0.817
K6 K 0.674 0.674 0.413
K7 K 0.778 0.778 0.869
K8 K 0.975 0.975 0.727
Sb1 Sb 0.158 0.158 0.667
Sb2 Sb 0.842 0.842 0.333
H1 H 0.500 0.500 0.000
```

---

Entry 2:
HoU2Fe9: optimized geometry, GGA-PBE.

Results
final energy = -8.694 eV per atom
formation energy = -8.1 kJ/mol of atoms

Geometry as CIF:
```
data_HoU2Fe9
_chemical_formula_sum 'Ho1 U2 Fe9'
_space_group_name_H-M_alt 'P 1'
_space_group_IT_number 1
_space_group_name_Hall 'P 1'
_cell_length_a 8.698
_cell_length_b 8.698
_cell_length_c 8.698
_cell_angle_alpha 32.91
_cell_angle_beta 32.91
_cell_angle_gamma 32.91
loop_
_atom_site_label
_atom_site_type_symbol
_atom_site_fract_x
_atom_site_fract_y
_atom_site_fract_z
Ho1 Ho 0.000 0.000 0.000
U1 U 0.147 0.147 0.147
U2 U 0.853 0.853 0.853
Fe1 Fe 0.083 0.581 0.581
Fe2 Fe 0.333 0.333 0.333
Fe3 Fe 0.419 0.419 0.917
Fe4 Fe 0.419 0.917 0.419
Fe5 Fe 0.500 0.500 0.500
Fe6 Fe 0.581 0.083 0.581
Fe7 Fe 0.581 0.581 0.083
Fe8 Fe 0.667 0.667 0.667
Fe9 Fe 0.917 0.419 0.419
```